No. 1
4
Lattice="5.164 0.000 0.000 2.582 4.472 0.000 2.582 1.491 4.216" Properties=species:S:1:pos:R:3 comment="DyScCdIn (GGA-PBE, optimized geometry)" space_group="No. 216" energy_ev_per_atom=-4.031 pbc="T T T"
Sc 0.000 0.000 0.000
Cd 7.745 4.472 3.162
In 2.582 1.491 1.054
Dy 5.164 2.981 2.108

No. 2
5
Lattice="-3.849 1.176 -3.934 -3.979 0.263 3.972 1.014 5.497 0.652" Properties=species:S:1:pos:R:3 comment="Ca3SiAg (GGA-PBE, optimized geometry)" space_group="No. 221" raw_formation_energy_kj_per_mol_atoms=-8 pbc="T T T"
Ca -1.989 0.132 1.986
Ca 0.507 2.749 0.326
Ca -1.925 0.588 -1.967
Si 0.000 0.000 0.000
Ag -3.407 3.469 0.345

Please write out number 2 again, unchanged.
5
Lattice="-3.849 1.176 -3.934 -3.979 0.263 3.972 1.014 5.497 0.652" Properties=species:S:1:pos:R:3 comment="Ca3SiAg (GGA-PBE, optimized geometry)" space_group="No. 221" raw_formation_energy_kj_per_mol_atoms=-8 pbc="T T T"
Ca -1.989 0.132 1.986
Ca 0.507 2.749 0.326
Ca -1.925 0.588 -1.967
Si 0.000 0.000 0.000
Ag -3.407 3.469 0.345

Copy entry 1 word for word.
4
Lattice="5.164 0.000 0.000 2.582 4.472 0.000 2.582 1.491 4.216" Properties=species:S:1:pos:R:3 comment="DyScCdIn (GGA-PBE, optimized geometry)" space_group="No. 216" energy_ev_per_atom=-4.031 pbc="T T T"
Sc 0.000 0.000 0.000
Cd 7.745 4.472 3.162
In 2.582 1.491 1.054
Dy 5.164 2.981 2.108